Entry 1:
Crystalline SrPr2Tl3 at its relaxed geometry, computed with PBE.

Unit cell a=3.962 b=3.962 c=12.130 alpha=90.00 beta=90.00 gamma=90.00
Positions (direct):
Sr1 0.500 0.500 0.500
Pr1 0.500 0.500 0.836
Pr2 0.500 0.500 0.164
Tl1 0.000 0.000 0.000
Tl2 0.000 0.000 0.678
Tl3 0.000 0.000 0.322

formation energy = -228 kJ/mol of formula units
space group = P4/mmm
D(E_F) = 0.747 states/eV per atom

=====

Entry 2:
Crystalline BeB2Ru at its relaxed geometry, computed with PBE.

Unit cell a=4.878 b=4.878 c=5.306 alpha=62.63 beta=62.63 gamma=90.00
Positions (direct):
Ru1 0.000 0.000 0.000
Ru2 0.750 0.250 0.500
B1 0.628 0.125 0.250
B2 0.122 0.625 0.250
B3 0.375 0.372 0.750
B4 0.875 0.878 0.750
Be1 0.500 0.500 0.000
Be2 0.250 0.750 0.500

formation energy = 329 kJ/mol of formula units
space group = I-42d
D(E_F) = 0.429 states/eV per atom

=====

Entry 3:
Crystalline AsIrRh2 at its relaxed geometry, computed with PBE.

Unit cell a=2.829 b=3.734 c=5.599 alpha=90.00 beta=90.00 gamma=90.00
Positions (direct):
As1 0.000 0.000 0.486
Ir1 0.500 0.500 0.764
Rh1 0.000 0.000 0.996
Rh2 0.500 0.500 0.255

formation energy = 34 kJ/mol of formula units
space group = Pmm2
D(E_F) = 1.376 states/eV per atom

=====

Entry 4:
Crystalline KPbIO5 at its relaxed geometry, computed with PBE.

Unit cell a=6.456 b=6.456 c=7.851 alpha=101.56 beta=101.56 gamma=107.47
Positions (direct):
K1 0.328 0.672 0.250
K2 0.672 0.328 0.750
Pb1 0.000 0.000 0.500
Pb2 0.000 0.000 0.000
I1 0.674 0.326 0.250
I2 0.326 0.674 0.750
O1 0.077 0.923 0.250
O2 0.923 0.077 0.750
O3 0.888 0.309 0.118
O4 0.112 0.691 0.882
O5 0.691 0.112 0.382
O6 0.309 0.888 0.618
O7 0.772 0.627 0.426
O8 0.228 0.373 0.574
O9 0.373 0.228 0.074
O10 0.627 0.772 0.926

raw formation energy = -0.711 eV per atom
space group = C2/c
D(E_F) = 0.088 states/eV per atom